Density functional theory data (GGA+U) for BaDyMoO6 after structural relaxation.

The structure belongs to space group C2 (No. 5); the cell edges are 5.564, 10.008 and 5.613 Å and the angles 90.00°, 91.58° and 90.00°. The distinct sites, in fractional coordinates, are Ba at (0.000, 0.000, 0.000), Dy at (0.000, 0.332, 0.500), Mo at (0.000, 0.655, 0.500), O at (0.125, 0.518, 0.306), O at (0.160, 0.798, 0.299) and O at (0.221, 0.185, 0.296).

For the electronic total energy, the calculation gives -7.11 eV per atom. For the density of states at the Fermi level, the calculation gives 5.63 states/eV/cell. The calculated density comes out at 5.227 Mg/m³. For the spin magnetization, the calculation gives 2.07 μB/cell.

---

Density functional theory data (GGA+U) for Ba2DyMo3O12 after structural relaxation.

The structure belongs to space group R-3m (No. 166, hexagonal axes); the cell edges are 7.5016, 7.5016 and 17.2474 Å and the angles 90.00°, 90.00° and 120.00°. The distinct sites, in fractional coordinates, are Ba at (0.0000, 0.0000, 0.1317), Dy at (0.0000, 0.0000, 0.5000), Mo at (0.0000, 0.5000, 0.0000), O at (0.0043, 0.5021, 0.1115) and O at (0.0835, 0.5418, 0.3332).

For the electronic total energy, the calculation gives -7.11 eV per atom. For the density of states at the Fermi level, the calculation gives 12.46 states/eV/cell. The calculated density comes out at 5.434 Mg/m³. For the spin magnetization, the calculation gives 3.00 μB/cell.

---

Density functional theory data (GGA+U) for BaDyMo2O8 after structural relaxation.

The structure belongs to space group P-3m1 (No. 164); the cell edges are 5.9908, 5.9908 and 7.5415 Å and the angles 90.00°, 90.00° and 120.00°. The distinct sites, in fractional coordinates, are Ba at (0.0000, 0.0000, 0.0000), Dy at (0.0000, 0.0000, 0.5000), Mo at (0.3333, 0.6667, 0.2298), O at (0.1644, 0.3288, 0.3044) and O at (0.3333, 0.6667, 0.9933).

For the electronic total energy, the calculation gives -7.29 eV per atom. For the density of states at the Fermi level, the calculation gives 5.62 states/eV/cell. The calculated density comes out at 4.390 Mg/m³. For the spin magnetization, the calculation gives 1.00 μB/cell.